! Cu2Rh2Cl, optimized geometry, DFT GGA-PBE; values from VASP
! Total DFT energy (no corrections) in eV per atom: -4.4658
! Distance to the lowest polymorph of the same formula in eV per atom: 0.013
! M_tot in μB per atom: 0.247
&SYSTEM
  ibrav = 0, nat = 10, ntyp = 3
/
ATOMIC_SPECIES
Rh 102.91 Rh.upf
Cu 63.55 Cu.upf
Cl 35.45 Cl.upf
CELL_PARAMETERS angstrom
-3.140 1.862 6.836
-2.237 -7.356 0.976
2.244 -0.526 1.174
ATOMIC_POSITIONS crystal
Rh 0.878 0.378 0.500
Rh 0.378 0.122 0.500
Rh 0.622 0.878 0.500
Rh 0.122 0.622 0.500
Cu 0.829 0.671 0.000
Cu 0.329 0.829 0.000
Cu 0.171 0.329 0.000
Cu 0.671 0.171 0.000
Cl 0.000 0.000 0.000
Cl 0.500 0.500 0.000

! Ni4Ir3, optimized geometry, DFT GGA-PBE; values from VASP
! Formation enthalpy at 0 K in kJ/mol of formula units: 35
! Total DFT energy (no corrections) in eV per atom: -7.0491
! Distance to the lowest polymorph of the same formula in eV per atom: 0.000
! M_tot in μB per atom: 0.187
&SYSTEM
  ibrav = 0, nat = 7, ntyp = 2
/
ATOMIC_SPECIES
Ni 58.69 Ni.upf
Ir 192.22 Ir.upf
CELL_PARAMETERS angstrom
-1.862 1.916 -0.288
-7.632 -9.557 -1.707
-0.693 -0.286 2.580
ATOMIC_POSITIONS crystal
Ni 0.862 0.724 0.138
Ni 0.429 0.857 0.571
Ni 0.138 0.276 0.862
Ni 0.571 0.143 0.429
Ir 0.000 0.000 0.000
Ir 0.711 0.422 0.289
Ir 0.289 0.578 0.711

! LaErTl, optimized geometry, DFT GGA-PBE; values from VASP
! Formation enthalpy at 0 K in kJ/mol of formula units: -63
! Total DFT energy (no corrections) in eV per atom: -4.1705
! Distance to the lowest polymorph of the same formula in eV per atom: 0.040
! M_tot in μB per atom: 0.000
&SYSTEM
  ibrav = 0, nat = 3, ntyp = 3
/
ATOMIC_SPECIES
Tl 204.38 Tl.upf
La 138.91 La.upf
Er 167.26 Er.upf
CELL_PARAMETERS angstrom
3.701 0.000 0.000
0.000 3.701 0.000
-1.851 -1.851 6.846
ATOMIC_POSITIONS crystal
Tl 0.941 0.941 0.882
La 0.609 0.609 0.218
Er 0.300 0.300 0.600

! Ce2NpPaN6, optimized geometry, DFT GGA-PBE; values from VASP
! Total DFT energy (no corrections) in eV per atom: -9.8103
! M_tot in μB per atom: 0.207
&SYSTEM
  ibrav = 0, nat = 20, ntyp = 4
/
ATOMIC_SPECIES
Pa 231.04 Pa.upf
N 14.01 N.upf
Np 237.00 Np.upf
Ce 140.12 Ce.upf
CELL_PARAMETERS angstrom
-1.480 -2.859 4.903
-3.017 -4.018 -3.254
7.032 -4.717 -0.696
ATOMIC_POSITIONS crystal
Pa 0.500 0.000 0.000
Pa 0.000 0.500 0.500
N 0.291 0.688 0.063
N 0.806 0.800 0.931
N 0.194 0.200 0.069
N 0.209 0.188 0.437
N 0.376 0.948 0.744
N 0.709 0.312 0.937
N 0.876 0.552 0.244
N 0.124 0.448 0.756
N 0.306 0.700 0.431
N 0.624 0.052 0.256
N 0.694 0.300 0.569
N 0.791 0.812 0.563
Np 0.000 0.500 0.000
Np 0.500 0.000 0.500
Ce 0.012 0.954 0.250
Ce 0.488 0.454 0.250
Ce 0.512 0.546 0.750
Ce 0.988 0.046 0.750

! ZnCuGe, optimized geometry, DFT GGA-PBE; values from VASP
! Formation enthalpy at 0 K in kJ/mol of formula units: 45
! Total DFT energy (no corrections) in eV per atom: -3.1743
! M_tot in μB per atom: 0.000
&SYSTEM
  ibrav = 0, nat = 3, ntyp = 3
/
ATOMIC_SPECIES
Cu 63.55 Cu.upf
Zn 65.41 Zn.upf
Ge 72.64 Ge.upf
CELL_PARAMETERS angstrom
-1.447 -2.081 -0.606
3.121 -1.770 -1.375
1.500 -1.112 4.838
ATOMIC_POSITIONS crystal
Cu 0.499 0.500 0.146
Zn 0.173 0.500 0.570
Ge 0.900 0.000 0.917

! Hf3NiTe, optimized geometry, DFT GGA-PBE; values from VASP
! Total DFT energy (no corrections) in eV per atom: -7.7314
! Distance to the lowest polymorph of the same formula in eV per atom: 0.000
! M_tot in μB per atom: 0.000
&SYSTEM
  ibrav = 0, nat = 5, ntyp = 3
/
ATOMIC_SPECIES
Hf 178.49 Hf.upf
Ni 58.69 Ni.upf
Te 127.60 Te.upf
CELL_PARAMETERS angstrom
4.843 0.000 0.000
0.000 4.843 0.000
0.000 0.000 4.843
ATOMIC_POSITIONS crystal
Hf 0.500 0.000 0.000
Hf 0.000 0.000 0.500
Hf 0.000 0.500 0.000
Ni 0.000 0.000 0.000
Te 0.500 0.500 0.500